No. 1
An optimized crystal structure of Cd5Te. Source: the Alexandria database, functional PBE.

Results
Calculated total energy in eV per cell: -6.96
Spin magnetization in μB/f.u.: 0.00
Space-group type: F-43m, No. 216
Density of states at the Fermi level in states/eV/cell: 3.54
Energy relative to the lowest polymorph listed for this composition in meV per atom: 109
Formation energy (no corrections) in kJ/mol of formula units: 73.2

```
data_Cd5Te
_cell_length_a 5.993
_cell_length_b 5.993
_cell_length_c 5.993
_cell_angle_alpha 60.00
_cell_angle_beta 60.00
_cell_angle_gamma 60.00
_symmetry_space_group_name_H-M 'P 1'
_symmetry_Int_Tables_number 1
loop_
_symmetry_equiv_pos_as_xyz
'x,y,z'
loop_
_atom_site_label
_atom_site_fract_x
_atom_site_fract_y
_atom_site_fract_z
Cd1 0.250 0.250 0.250
Cd2 0.625 0.625 0.625
Cd3 0.625 0.625 0.125
Cd4 0.125 0.625 0.625
Cd5 0.625 0.125 0.625
Te1 0.000 0.000 0.000
```


No. 2
An optimized crystal structure of BiPd3Pb2. Source: the Alexandria database, functional PBE.

Results
Calculated total energy in eV per cell: -56.54
Spin magnetization in μB/f.u.: 0.00
Formation energy in eV/atom: -0.233
Space-group type: P2_1/m, No. 11
Density of states at the Fermi level in states/eV/cell: 6.27

```
data_BiPd3Pb2
_cell_length_a 4.588
_cell_length_b 8.102
_cell_length_c 7.690
_cell_angle_alpha 109.88
_cell_angle_beta 90.00
_cell_angle_gamma 90.00
_symmetry_space_group_name_H-M 'P 1'
_symmetry_Int_Tables_number 1
loop_
_symmetry_equiv_pos_as_xyz
'x,y,z'
loop_
_atom_site_label
_atom_site_fract_x
_atom_site_fract_y
_atom_site_fract_z
Bi1 0.250 0.513 0.817
Bi2 0.750 0.487 0.183
Pd1 0.750 0.609 0.609
Pd2 0.250 0.391 0.391
Pd3 0.750 0.874 0.386
Pd4 0.250 0.126 0.614
Pd5 0.250 0.254 0.005
Pd6 0.750 0.746 0.995
Pb1 0.250 0.763 0.525
Pb2 0.750 0.237 0.475
Pb3 0.750 0.036 0.835
Pb4 0.250 0.964 0.165
```